# 1
SmTh2As3 GGA-PBE relaxed; calculated volume = 26.952 A^3/atom; size of the total moment = 0.00 μB/atom; DFT total energy = -0.2586 Ha/atom
1.0
-2.1187 2.9985 6.3635
2.1187 -2.9985 6.3635
2.1187 2.9985 -6.3635
Sm Th As
1 2 3
Direct
0.0000 0.0000 0.0000
0.3339 0.3339 0.0000
0.6661 0.6661 0.0000
0.1663 0.6663 0.5000
0.5000 0.0000 0.5000
0.8337 0.3337 0.5000

# 2
Sm3ThAs4 GGA-PBE relaxed; calculated volume = 26.662 A^3/atom; size of the total moment = 0.00 μB/atom; DFT total energy = -0.2404 Ha/atom
1.0
4.2224 -5.9701 0.0000
4.2224 5.9701 0.0000
0.0000 0.0000 4.2306
Sm Th As
3 1 4
Direct
0.0000 0.0000 0.0000
0.0000 0.5000 0.5000
0.5000 0.0000 0.5000
0.5000 0.5000 0.0000
0.2497 0.2497 0.5000
0.2504 0.7496 0.0000
0.7496 0.2504 0.0000
0.7503 0.7503 0.5000

# 3
SmTm2As3 GGA-PBE relaxed; calculated volume = 24.546 A^3/atom; size of the total moment = 0.00 μB/atom; DFT total energy = -0.2245 Ha/atom
1.0
4.1114 0.0000 0.0000
-2.0557 3.5606 0.0000
0.0000 0.0000 10.0604
Sm Tm As
1 2 3
Direct
0.0000 0.0000 0.0000
0.3333 0.6667 0.3371
0.6667 0.3333 0.6629
0.0000 0.0000 0.5000
0.3333 0.6667 0.8250
0.6667 0.3333 0.1750

# 4
SmTmAs4 GGA-PBE relaxed; calculated volume = 28.308 A^3/atom; size of the total moment = 0.00 μB/atom; DFT total energy = -0.1838 Ha/atom
1.0
3.8747 -4.0345 0.0000
3.8747 4.0345 0.0000
0.0000 0.0000 5.4326
Sm Tm As
1 1 4
Direct
0.0000 0.0000 0.0000
0.5000 0.5000 0.5000
0.1491 0.1491 0.5000
0.3560 0.6440 0.0000
0.6440 0.3560 0.0000
0.8509 0.8509 0.5000

# 5
Sm2TmAs3 GGA-PBE relaxed; calculated volume = 25.469 A^3/atom; size of the total moment = 0.00 μB/atom; DFT total energy = -0.2263 Ha/atom
1.0
4.1627 0.0000 0.0000
-2.0814 3.6050 0.0000
0.0000 0.0000 10.1829
Sm Tm As
2 1 3
Direct
0.3333 0.6667 0.3294
0.6667 0.3333 0.6706
0.0000 0.0000 0.0000
0.0000 0.0000 0.5000
0.3333 0.6667 0.8416
0.6667 0.3333 0.1584

# 6
SmUAs GGA-PBE relaxed; calculated volume = 27.546 A^3/atom; distance to the lowest polymorph of the same formula = 0.000 eV per atom; size of the total moment = 1.28 μB/atom
1.0
0.0000 3.4571 3.4571
3.4571 0.0000 3.4571
3.4571 3.4571 0.0000
Sm U As
1 1 1
Direct
0.0000 0.0000 0.0000
0.5000 0.5000 0.5000
0.2500 0.2500 0.2500

# 7
SmU2As3 GGA-PBE relaxed; calculated volume = 24.889 A^3/atom; size of the total moment = 0.85 μB/atom; DFT total energy = -0.2890 Ha/atom
1.0
4.0823 0.0000 0.0000
-2.0411 3.5354 0.0000
0.0000 0.0000 10.3470
Sm U As
1 2 3
Direct
0.0000 0.0000 0.0000
0.3333 0.6667 0.3347
0.6667 0.3333 0.6653
0.0000 0.0000 0.5000
0.3333 0.6667 0.8269
0.6667 0.3333 0.1731

# 8
Sm2UAs3 GGA-PBE relaxed; calculated volume = 25.664 A^3/atom; size of the total moment = 0.40 μB/atom; DFT total energy = -0.2589 Ha/atom
1.0
4.1456 0.0000 0.0000
-2.0728 3.5902 0.0000
0.0000 0.0000 10.3455
Sm U As
2 1 3
Direct
0.3333 0.6667 0.3355
0.6667 0.3333 0.6645
0.0000 0.0000 0.0000
0.0000 0.0000 0.5000
0.3333 0.6667 0.8405
0.6667 0.3333 0.1595

# 9
SmYAs GGA-PBE relaxed; calculated volume = 27.355 A^3/atom; size of the total moment = 0.01 μB/atom; DFT total energy = -0.2234 Ha/atom
1.0
0.0000 3.4491 3.4491
3.4491 0.0000 3.4491
3.4491 3.4491 0.0000
Sm Y As
1 1 1
Direct
0.0000 0.0000 0.0000
0.5000 0.5000 0.5000
0.2500 0.2500 0.2500

# 10
SmZnAs GGA-PBE relaxed; calculated volume = 26.771 A^3/atom; size of the total moment = 0.00 μB/atom; DFT total energy = -0.1470 Ha/atom
1.0
0.0000 3.4244 3.4244
3.4244 0.0000 3.4244
3.4244 3.4244 0.0000
Sm Zn As
1 1 1
Direct
0.0000 0.0000 0.0000
0.2500 0.2500 0.2500
0.7500 0.7500 0.7500

# 11
SmZnAs GGA-PBE relaxed; calculated volume = 23.474 A^3/atom; size of the total moment = 0.00 μB/atom; DFT total energy = -0.1449 Ha/atom
1.0
0.0000 3.2776 3.2776
3.2776 0.0000 3.2776
3.2776 3.2776 0.0000
Sm Zn As
1 1 1
Direct
0.0000 0.0000 0.0000
0.7500 0.7500 0.7500
0.5000 0.5000 0.5000

# 12
SmZrAs GGA-PBE relaxed; calculated volume = 24.937 A^3/atom; size of the total moment = 0.14 μB/atom; DFT total energy = -0.2409 Ha/atom
1.0
0.0000 3.3443 3.3443
3.3443 0.0000 3.3443
3.3443 3.3443 0.0000
Sm Zr As
1 1 1
Direct
0.0000 0.0000 0.0000
0.5000 0.5000 0.5000
0.2500 0.2500 0.2500

# 13
SmZrAs GGA-PBE relaxed; calculated volume = 29.148 A^3/atom; size of the total moment = 1.24 μB/atom; DFT total energy = -0.2024 Ha/atom
1.0
0.0000 3.5229 3.5229
3.5229 0.0000 3.5229
3.5229 3.5229 0.0000
Sm Zr As
1 1 1
Direct
0.0000 0.0000 0.0000
0.2500 0.2500 0.2500
0.7500 0.7500 0.7500

# 14
TbSnAs GGA-PBE relaxed; calculated volume = 27.790 A^3/atom; size of the total moment = 0.00 μB/atom; DFT total energy = -0.1785 Ha/atom
1.0
0.0000 3.4673 3.4673
3.4673 0.0000 3.4673
3.4673 3.4673 0.0000
Tb Sn As
1 1 1
Direct
0.0000 0.0000 0.0000
0.5000 0.5000 0.5000
0.7500 0.7500 0.7500

# 15
TcSn2As GGA-PBE relaxed; calculated volume = 19.921 A^3/atom; size of the total moment = 0.00 μB/atom; DFT total energy = -0.1931 Ha/atom
1.0
0.0000 3.4154 3.4154
3.4154 0.0000 3.4154
3.4154 3.4154 0.0000
Tc Sn As
1 2 1
Direct
0.0000 0.0000 0.0000
0.5000 0.5000 0.5000
0.7500 0.7500 0.7500
0.2500 0.2500 0.2500

# 16
TcSnAs GGA-PBE relaxed; calculated volume = 20.419 A^3/atom; distance to the lowest polymorph of the same formula = 0.400 eV per atom; size of the total moment = 0.00 μB/atom
1.0
0.0000 3.1288 3.1288
3.1288 0.0000 3.1288
3.1288 3.1288 0.0000
Tc Sn As
1 1 1
Direct
0.0000 0.0000 0.0000
0.7500 0.7500 0.7500
0.2500 0.2500 0.2500

# 17
TcSnAs GGA-PBE relaxed; calculated volume = 18.616 A^3/atom; distance to the lowest polymorph of the same formula = 0.000 eV per atom; size of the total moment = 0.00 μB/atom
1.0
4.8828 -1.6532 0.0000
4.8828 1.6532 0.0000
-4.0952 0.0000 6.9187
Tc Sn As
2 2 2
Direct
0.0000 0.0000 0.0000
0.6999 0.6999 0.6022
0.2482 0.2482 0.9209
0.7236 0.7236 0.2760
0.0182 0.0182 0.3487
0.4433 0.4433 0.7107

# 18
TcSnAs2 GGA-PBE relaxed; calculated volume = 18.258 A^3/atom; size of the total moment = 0.00 μB/atom; DFT total energy = -0.1987 Ha/atom
1.0
0.0000 3.3176 3.3176
3.3176 0.0000 3.3176
3.3176 3.3176 0.0000
Tc Sn As
1 1 2
Direct
0.0000 0.0000 0.0000
0.2500 0.2500 0.2500
0.5000 0.5000 0.5000
0.7500 0.7500 0.7500

# 19
Tc2SnAs2 GGA-PBE relaxed; calculated volume = 18.224 A^3/atom; size of the total moment = 0.00 μB/atom; DFT total energy = -0.2504 Ha/atom
1.0
-2.2304 2.2304 4.5793
2.2304 -2.2304 4.5793
2.2304 2.2304 -4.5793
Tc Sn As
2 1 2
Direct
0.2500 0.7500 0.5000
0.7500 0.2500 0.5000
0.0000 0.0000 0.0000
0.3649 0.3649 0.0000
0.6351 0.6351 0.0000

# 20
TmZnSn2As4 GGA-PBE relaxed; calculated volume = 29.591 A^3/atom; size of the total moment = 0.00 μB/atom; DFT total energy = -0.1581 Ha/atom
1.0
-3.1029 3.1029 6.1470
3.1029 -3.1029 6.1470
3.1029 3.1029 -6.1470
Tm Zn Sn As
1 1 2 4
Direct
0.0000 0.0000 0.0000
0.2500 0.7500 0.5000
0.5000 0.5000 0.0000
0.7500 0.2500 0.5000
0.1443 0.6290 0.0351
0.3710 0.4061 0.5153
0.5939 0.1093 0.9649
0.8907 0.8557 0.4847